[1]
Here is crystalline ZrSbOs2 at its relaxed geometry from Alexandria via LeMat-Bulk. Energies are from PBE.

Cell: 3.0094 3.0094 8.8026 Å, 90.00 90.00 112.99°
Last column: nearest neighbours and their distance in Å.
Fractional positions:
Zr 0.0000 0.0000 0.0000  4 Os 2.69, 4 Zr 3.01
Sb 0.0000 0.0000 0.5000  4 Os 2.82, 4 Sb 3.01
Os 0.5000 0.5000 0.2409  2 Zr 2.69, 2 Sb 2.82, 4 Os 3.01
Os 0.5000 0.5000 0.7591  2 Zr 2.69, 2 Sb 2.82, 4 Os 3.01

## Properties
- space group = No. 65
- VASP energy (Ha/atom) = -0.3053
- uncorrected formation energy (eV per atom) = 0.475
- size of the total moment (μB per atom) = 0.0000

***

[2]
Here is crystalline ZrSbOs2 at its relaxed geometry from Alexandria via LeMat-Bulk. Energies are from PBE.

Cell: 5.2614 5.2614 5.2614 Å, 135.93 135.93 64.10°
Last column: nearest neighbours and their distance in Å.
Fractional positions:
Zr 0.0000 0.0000 0.0000  8 Os 2.79-2.98, 4 Sb 2.98
Sb 0.2500 0.7500 0.5000  8 Os 2.79-2.98, 4 Zr 2.98
Os 0.5000 0.5000 0.0000  4 Zr 2.79, 4 Sb 2.98, 4 Os 2.98
Os 0.7500 0.2500 0.5000  4 Sb 2.79, 4 Zr 2.98, 4 Os 2.98

## Properties
- space group = No. 119
- VASP energy (Ha/atom) = -0.3211
- uncorrected formation energy (eV per atom) = 0.046
- size of the total moment (μB per atom) = 0.0000

***

[3]
Here is crystalline ZrSbOs2 at its relaxed geometry from Alexandria via LeMat-Bulk. Energies are from PBE.

Cell: 4.6566 3.1651 5.1538 Å, 90.00 110.97 90.00°
Last column: nearest neighbours and their distance in Å.
Fractional positions:
Zr 0.0000 0.0000 0.0000  6 Os 2.79-2.82, 4 Sb 3.02
Sb 0.0000 0.5000 0.5000  6 Os 2.79-2.82, 4 Zr 3.02
Os 0.5000 0.0000 0.5000  2 Zr 2.79, 4 Sb 2.82, 4 Os 3.02
Os 0.5000 0.5000 0.0000  2 Sb 2.79, 4 Zr 2.82, 4 Os 3.02

## Properties
- space group = No. 10
- VASP energy (Ha/atom) = -0.3180
- uncorrected formation energy (eV per atom) = 0.128
- size of the total moment (μB per atom) = 0.0000

***

[4]
Here is crystalline Zr2SbOs at its relaxed geometry from Alexandria via LeMat-Bulk. Energies are from PBE.

Cell: 9.3805 9.3805 9.3805 Å, 19.96 19.96 19.96°
Last column: nearest neighbours and their distance in Å.
Fractional positions:
Zr 0.0000 0.0000 0.0000  3 Os 2.75
Zr 0.2398 0.2398 0.2398  3 Sb 3.16, 9 Zr 3.19-3.25
Sb 0.4811 0.4811 0.4811  3 Os 2.79
Os 0.7395 0.7395 0.7395  3 Zr 2.75, 3 Sb 2.79

## Properties
- space group = No. 160
- VASP energy (Ha/atom) = -0.2938
- uncorrected formation energy (eV per atom) = 0.118
- size of the total moment (μB per atom) = 0.0000

***

[5]
Here is crystalline ZrSbOs2 at its relaxed geometry from Alexandria via LeMat-Bulk. Energies are from PBE.

Cell: 4.7943 4.7943 4.7943 Å, 126.11 126.11 79.71°
Last column: nearest neighbours and their distance in Å.
Fractional positions:
Zr 0.0000 0.0000 0.0000  8 Os 2.85, 4 Sb 3.07
Sb 0.5000 0.5000 0.0000  8 Os 2.85, 4 Zr 3.07
Os 0.2500 0.7500 0.5000  4 Zr 2.85, 4 Sb 2.85, 4 Os 3.07
Os 0.7500 0.2500 0.5000  4 Zr 2.85, 4 Sb 2.85, 4 Os 3.07

## Properties
- space group = No. 139
- VASP energy (Ha/atom) = -0.3235
- uncorrected formation energy (eV per atom) = -0.021
- size of the total moment (μB per atom) = 0.0000

***

[6]
Here is crystalline Zr2SbOs at its relaxed geometry from Alexandria via LeMat-Bulk. Energies are from PBE.

Cell: 5.6642 5.6642 5.6642 Å, 138.34 138.34 60.39°
Last column: nearest neighbours and their distance in Å.
Fractional positions:
Zr 0.0000 0.0000 0.0000  4 Sb 2.85, 4 Zr 3.17, 4 Os 3.17
Zr 0.7500 0.2500 0.5000  4 Os 2.85, 4 Sb 3.17, 4 Zr 3.17
Sb 0.5000 0.5000 0.0000  8 Zr 2.85-3.17, 4 Os 3.17
Os 0.2500 0.7500 0.5000  8 Zr 2.85-3.17, 4 Sb 3.17

## Properties
- space group = No. 119
- VASP energy (Ha/atom) = -0.3086
- uncorrected formation energy (eV per atom) = -0.285
- size of the total moment (μB per atom) = 0.0000

***

[7]
Here is crystalline Zr2SbOs2 at its relaxed geometry from Alexandria via LeMat-Bulk. Energies are from PBE.

Cell: 8.4251 8.4251 8.4251 Å, 155.32 155.32 35.18°
Last column: nearest neighbours and their distance in Å.
Fractional positions:
Zr 0.1107 0.1107 0.0000  4 Os 2.87, 4 Sb 3.11
Zr 0.8893 0.8893 0.0000  4 Os 2.87, 4 Sb 3.11
Sb 0.5000 0.5000 0.0000  8 Zr 3.11
Os 0.2500 0.7500 0.5000  4 Os 2.55
Os 0.7500 0.2500 0.5000  4 Os 2.55

## Properties
- space group = No. 139
- VASP energy (Ha/atom) = -0.3223
- energy relative to the lowest polymorph listed for this composition (meV per atom) = 132
- uncorrected formation energy (eV per atom) = -0.036
- size of the total moment (μB per atom) = 0.0000

***

[8]
Here is crystalline ZrSbOs2 at its relaxed geometry from Alexandria via LeMat-Bulk. Energies are from PBE.

Cell: 3.0055 3.0055 8.0130 Å, 90.00 90.00 90.00°
Last column: nearest neighbours and their distance in Å.
Fractional positions:
Zr 0.0000 0.0000 0.0000  4 Os 3.00, 4 Zr 3.01, 4 Sb 3.12
Sb 0.5000 0.5000 0.7153  4 Os 2.93, 4 Sb 3.01, 4 Zr 3.12
Os 0.0000 0.0000 0.4628  4 Os 2.65, 4 Sb 2.93
Os 0.5000 0.5000 0.2642  4 Os 2.65

## Properties
- space group = No. 99
- VASP energy (Ha/atom) = -0.3154
- uncorrected formation energy (eV per atom) = 0.199
- size of the total moment (μB per atom) = 0.0000